Entry 1:
An optimized crystal structure of ZrFeMoAs. Source: OQMD, functional GGA-PBE.

Unit cell a=6.2556 b=6.2556 c=6.2556 alpha=90.00 beta=90.00 gamma=90.00
Positions (direct):
Zr: 0.0000 0.0000 0.0000
Zr: 0.0000 0.5000 0.5000
Zr: 0.5000 0.0000 0.5000
Zr: 0.5000 0.5000 0.0000
Fe: 0.2500 0.2500 0.7500
Fe: 0.2500 0.7500 0.2500
Fe: 0.7500 0.2500 0.2500
Fe: 0.7500 0.7500 0.7500
Mo: 0.2500 0.2500 0.2500
Mo: 0.2500 0.7500 0.7500
Mo: 0.7500 0.2500 0.7500
Mo: 0.7500 0.7500 0.2500
As: 0.0000 0.0000 0.5000
As: 0.0000 0.5000 0.0000
As: 0.5000 0.0000 0.0000
As: 0.5000 0.5000 0.5000

As for the energy above the most stable polymorph in this dataset: 0.0 meV/atom. For the size of the total moment, the calculation gives 0.98 μB/f.u. As for the total energy: -128.843 eV per cell.

Entry 2:
An optimized crystal structure of ThFeAsN. Source: OQMD, functional GGA-PBE.

Unit cell a=4.0296 b=4.0296 c=8.3706 alpha=90.00 beta=90.00 gamma=90.00
Positions (direct):
Th: 0.2500 0.2500 0.1398
Th: 0.7500 0.7500 0.8602
Fe: 0.2500 0.7500 0.5000
Fe: 0.7500 0.2500 0.5000
As: 0.2500 0.2500 0.6413
As: 0.7500 0.7500 0.3587
N: 0.2500 0.7500 0.0000
N: 0.7500 0.2500 0.0000

For the size of the total moment, the calculation gives 1.47 μB/f.u. As for the total energy: -65.748 eV per cell.

Entry 3:
An optimized crystal structure of FeAsW4N2. Source: OQMD, functional GGA-PBE.

Unit cell a=2.9015 b=2.9015 c=13.9318 alpha=90.00 beta=90.00 gamma=120.00
Positions (direct):
Fe: 0.0000 0.0000 0.0000
As: 0.3333 0.6667 0.5000
W: 0.0000 0.0000 0.3524
W: 0.0000 0.0000 0.6476
W: 0.3333 0.6667 0.1499
W: 0.3333 0.6667 0.8501
N: 0.6667 0.3333 0.2508
N: 0.6667 0.3333 0.7492

For the size of the total moment, the calculation gives 2.09 μB/f.u. As for the total energy: -79.151 eV per cell.

Entry 4:
An optimized crystal structure of Y4FeAsN2. Source: OQMD, functional GGA-PBE.

Unit cell a=3.5309 b=3.5309 c=13.5722 alpha=90.00 beta=90.00 gamma=120.00
Positions (direct):
Y: 0.0000 0.0000 0.1431
Y: 0.0000 0.0000 0.8569
Y: 0.3333 0.6667 0.3458
Y: 0.3333 0.6667 0.6542
Fe: 0.3333 0.6667 0.0000
As: 0.0000 0.0000 0.5000
N: 0.6667 0.3333 0.2529
N: 0.6667 0.3333 0.7471

For the size of the total moment, the calculation gives 0.39 μB/f.u. As for the total energy: -62.737 eV per cell.

Entry 5:
An optimized crystal structure of Zr4FeAsN2. Source: OQMD, functional GGA-PBE.

Unit cell a=3.3182 b=3.3182 c=12.9258 alpha=90.00 beta=90.00 gamma=120.00
Positions (direct):
Zr: 0.0000 0.0000 0.1491
Zr: 0.0000 0.0000 0.8509
Zr: 0.6667 0.3333 0.3492
Zr: 0.6667 0.3333 0.6508
Fe: 0.6667 0.3333 0.0000
As: 0.0000 0.0000 0.5000
N: 0.3333 0.6667 0.2506
N: 0.3333 0.6667 0.7494

For the size of the total moment, the calculation gives 1.11 μB/f.u. As for the total energy: -71.711 eV per cell.

Entry 6:
An optimized crystal structure of NaFe4As2. Source: OQMD, functional GGA-PBE.

Unit cell a=8.2939 b=8.2939 c=8.2939 alpha=27.84 beta=27.84 gamma=27.84
Positions (direct):
Na: 0.0000 0.0000 0.0000
Fe: 0.1452 0.1452 0.1452
Fe: 0.4498 0.4498 0.4498
Fe: 0.5502 0.5502 0.5502
Fe: 0.8548 0.8548 0.8548
As: 0.2499 0.2499 0.2499
As: 0.7501 0.7501 0.7501

For the size of the total moment, the calculation gives 8.76 μB/f.u. As for the total energy: -45.106 eV per cell.

Entry 7:
An optimized crystal structure of NaFe3As5. Source: OQMD, functional GGA-PBE.

Unit cell a=5.0150 b=5.0150 c=7.7464 alpha=90.00 beta=90.00 gamma=120.00
Positions (direct):
Na: 0.0000 0.0000 0.0000
Fe: 0.0000 0.5000 0.5000
Fe: 0.5000 0.0000 0.5000
Fe: 0.5000 0.5000 0.5000
As: 0.0000 0.0000 0.5000
As: 0.3333 0.6667 0.2393
As: 0.3333 0.6667 0.7607
As: 0.6667 0.3333 0.2393
As: 0.6667 0.3333 0.7607

For the size of the total moment, the calculation gives 6.11 μB/f.u. As for the total energy: -50.459 eV per cell.

Entry 8:
An optimized crystal structure of NaFeAsPb. Source: OQMD, functional GGA-PBE.

Unit cell a=7.0597 b=7.0597 c=7.0597 alpha=90.00 beta=90.00 gamma=90.00
Positions (direct):
Na: 0.0000 0.0000 0.0000
Na: 0.0000 0.5000 0.5000
Na: 0.5000 0.0000 0.5000
Na: 0.5000 0.5000 0.0000
Fe: 0.2500 0.2500 0.7500
Fe: 0.2500 0.7500 0.2500
Fe: 0.7500 0.2500 0.2500
Fe: 0.7500 0.7500 0.7500
As: 0.2500 0.2500 0.2500
As: 0.2500 0.7500 0.7500
As: 0.7500 0.2500 0.7500
As: 0.7500 0.7500 0.2500
Pb: 0.0000 0.0000 0.5000
Pb: 0.0000 0.5000 0.0000
Pb: 0.5000 0.0000 0.0000
Pb: 0.5000 0.5000 0.5000

As for the energy above the most stable polymorph in this dataset: 144.2 meV/atom. For the size of the total moment, the calculation gives 2.95 μB/f.u. As for the total energy: -64.310 eV per cell.